CaTcRh, optimized geometry, DFT PBE-GGA; space-group type = P-6m2, No. 187; calculated formation energy = 0.36 eV/atom
1.0
4.678 0.000 0.000
-2.339 4.051 0.000
0.000 0.000 2.811
Ca Tc Rh
1 1 1
direct
0.000 0.000 0.000
0.333 0.667 0.500
0.667 0.333 0.500


Nb3AuN, optimized geometry, DFT PBE-GGA; E_tot = -8.692 eV per atom; space-group type = Pmma, No. 51
1.0
6.477 0.000 0.000
0.000 2.950 0.000
0.000 0.000 8.678
Nb Au N
6 2 2
direct
0.023 0.000 0.237
0.250 0.500 0.495
0.477 0.000 0.237
0.523 0.000 0.763
0.750 0.500 0.505
0.977 0.000 0.763
0.250 0.500 0.994
0.750 0.500 0.006
0.250 0.000 0.664
0.750 0.000 0.336


Results for M_tot: 0.000 0.000 (in μB per formula unit, following the order of the records).
Results for calculated volume: 17.8 16.6 (in Å³/atom, following the order of the records).